! FeSbO4 PBE+U relaxed; values from VASP
&SYSTEM
  ibrav = 0, nat = 18, ntyp = 3
/
ATOMIC_SPECIES
Fe 55.84 Fe.upf
Sb 121.76 Sb.upf
O 16.00 O.upf
CELL_PARAMETERS angstrom
3.280 -3.361 0.000
3.280 3.361 0.000
0.000 0.000 9.194
ATOMIC_POSITIONS angstrom
Fe 0.000 0.000 0.000
Fe 0.000 0.000 3.009
Fe 3.280 0.000 7.679
Sb 0.000 0.000 6.176
Sb 3.280 0.000 1.459
Sb 3.280 0.000 4.583
O 1.247 0.000 4.573
O 1.261 0.000 1.543
O 1.304 0.000 7.627
O 3.280 1.291 6.119
O 3.280 1.281 3.062
O 3.280 1.282 9.137
O 3.280 -1.281 3.062
O 3.280 -1.282 9.137
O 3.280 -1.291 6.119
O 5.255 0.000 7.627
O 5.299 0.000 1.543
O 5.313 0.000 4.573
! uncorrected energy	-6.229	eV per atom
! symmetry	No. 35
! volume	11.26	Å³/atom